PBE-GGA SmB2Rh3, relaxed; total moment = 0.093 μB/cell; density of states at the Fermi level = 2.636 states/eV/f.u.; energy of formation = -0.68 eV per atom; space group = P6/mmm; relative energy among the computed polymorphs = 0.0 meV/atom
1.0
-0.289 4.462 3.180
-2.895 -0.244 -4.654
-2.388 -1.260 1.551
B Sm Rh
2 1 3
Direct
0.667 0.333 0.000 B
0.333 0.667 0.000 B
0.000 0.000 0.000 Sm
0.500 0.000 0.500 Rh
0.500 0.500 0.500 Rh
0.000 0.500 0.500 Rh